# GGA-PBE LiCeMgPb2, relaxed
data_LiCeMgPb2
_cell_length_a 4.497
_cell_length_b 4.497
_cell_length_c 13.195
_cell_angle_alpha 90.00
_cell_angle_beta 90.00
_cell_angle_gamma 90.00
_symmetry_space_group_name_H-M 'I -4 m 2'
_symmetry_Int_Tables_number 119
_symmetry_space_group_name_Hall 'I -4 -2'
loop_
_atom_site_label
_atom_site_type_symbol
_atom_site_fract_x
_atom_site_fract_y
_atom_site_fract_z
Li1 Li 0.000 0.000 0.000
Ce1 Ce 0.000 0.500 0.250
Mg1 Mg 0.000 0.000 0.500
Pb1 Pb 0.000 0.500 0.637
# theoretical density	7.3	g cm⁻³
# ΔH_f (0 K)	-0.255	eV/atom
# V	26.7	Å³/atom